Entry 1:
Density functional theory data (meta-GGA SCAN) for CaPdS2Cl at its PBEsol-relaxed geometry.

extended XYZ file:
```
5
Lattice="-1.8693 -4.2950 -0.3339 0.5587 0.1193 -4.6611 4.2954 -1.9058 0.4660" Properties=species:S:1:pos:R:3 pbc="T T T"
Ca 1.4923 -3.0407 -2.2645
S 0.2793 0.0596 -2.3306
S -0.9347 -2.1475 -0.1670
Pd 0.0000 0.0000 0.0000
Cl 2.1477 -0.9529 0.2330
```

Calculated values
E above lowest polymorph ... 0.0 kJ/mol of atoms
Uncorrected energy ... -74.1 eV for the cell shown
Space group ... P4/mmm, No. 123
Formation energy from raw total energies ... -0.89 eV per atom
Total magnetic moment ... 0.000 μB/atom


Entry 2:
Density functional theory data (meta-GGA SCAN) for CaPdWCl2 at its PBEsol-relaxed geometry.

extended XYZ file:
```
5
Lattice="-2.9223 1.6201 -3.1865 -0.0643 -4.1389 -2.0454 -3.9654 -1.3871 2.9314" Properties=species:S:1:pos:R:3 pbc="T T T"
Ca -3.4760 -1.9530 -1.1503
Pd -1.9827 -0.6936 1.4657
W 0.0000 0.0000 0.0000
Cl -0.0321 -2.0695 -1.0227
Cl -1.4612 0.8101 -1.5933
```

Calculated values
Uncorrected energy ... -128.4 eV for the cell shown
Space group ... P4/mmm, No. 123
Formation energy from raw total energies ... -0.07 eV per atom
Total magnetic moment ... 0.094 μB/atom


Entry 3:
Density functional theory data (meta-GGA SCAN) for Ca2PtCl at its PBEsol-relaxed geometry.

extended XYZ file:
```
4
Lattice="3.4790 0.0000 0.0000 0.0000 3.5986 0.0302 0.0000 -0.1017 7.7079" Properties=species:S:1:pos:R:3 pbc="T T T"
Ca 0.0000 3.5604 2.2527
Ca 0.0000 -0.0635 5.4854
Pt 1.7395 1.7484 3.8690
Cl 1.7395 0.0000 0.0000
```

Calculated values
E above lowest polymorph ... 0.0 kJ/mol of atoms
Uncorrected energy ... -103.5 eV for the cell shown
Space group ... P2/m, No. 10
Formation energy from raw total energies ... -1.50 eV per atom
Total magnetic moment ... 0.000 μB/atom


Entry 4:
Density functional theory data (meta-GGA SCAN) for CaPt3Cl at its PBEsol-relaxed geometry.

extended XYZ file:
```
5
Lattice="-0.0088 -3.8343 3.0910 3.5827 -2.1260 -2.6269 3.3794 2.2438 2.7930" Properties=species:S:1:pos:R:3 pbc="T T T"
Ca 0.0000 0.0000 0.0000
Pt 1.7913 -1.0630 -1.3135
Pt 1.6897 1.1219 1.3965
Pt -0.0044 -1.9171 1.5455
Cl 3.4766 -1.8582 1.6286
```

Calculated values
Uncorrected energy ... -220.2 eV for the cell shown
Space group ... Pm-3m, No. 221
Formation energy from raw total energies ... 1.60 eV per atom
Total magnetic moment ... 0.098 μB/atom